PaAlCdO6: optimized geometry, GGA-PBE.

Lattice parameters (Å, degrees): 5.3255 5.3255 4.7296 90.00 90.00 120.00
With the nearest neighbours (Å) after each atom.
Space group P312 (No. 149)
Symmetry-distinct sites (fractional):
Pa1 0.0000 0.0000 0.0000 x1  6 O 2.20
Al1 0.6667 0.3333 0.5000 x1  6 O 1.92
Cd1 0.3333 0.6667 0.5000 x1  6 O 2.26
O1 0.3587 0.0496 0.7320 x6  1 Al 1.92

Values from the calculation:
Density of states at the Fermi level = 6.12 states/eV per cell
Magnetization = 2.05 μB/f.u.
E_form (uncorrected) = -2.20 eV/atom
Energy = -7.08 eV/atom